No. 1
Compound: LaGa11Co
Source: the Alexandria database
Functional: GGA-PBE
Structure: optimized geometry

Lattice parameters (Å, degrees): 5.0827 12.2631 8.0384 90.00 108.33 90.00
With the nearest neighbours (Å) after each atom.
Space group C2/m (No. 12)
Inequivalent atoms, fractional coordinates:
La: 0.0000 0.0000 0.0000 [2 per cell]  16 Ga 3.32-3.52
Ga: 0.0000 0.0000 0.5000 [2 per cell]  2 Co 2.54, 8 Ga 2.71-2.72
Ga: 0.1177 0.3904 0.2403 [8 per cell]  7 Ga 2.69-2.95, 1 Co 2.70
Ga: 0.2086 0.1719 0.3695 [8 per cell]  1 Co 2.60, 4 Ga 2.71-2.86
Ga: 0.2500 0.2500 0.0000 [4 per cell]  6 Ga 2.54-2.82
Co: 0.0000 0.5000 0.5000 [2 per cell]  10 Ga 2.54-2.70

## Properties
- V: 475.6 Å³/cell
- Magnetization: 0.000 μB/atom
- D(E_F): 10.78 states/eV/cell
- Calculated formation energy: -186 meV per atom


No. 2
Compound: Tb8YHo5
Source: the Alexandria database
Functional: GGA-PBE
Structure: optimized geometry

Lattice parameters (Å, degrees): 9.5361 9.5361 10.1205 90.00 90.00 90.00
With the nearest neighbours (Å) after each atom.
Space group I-4 (No. 82)
Inequivalent atoms, fractional coordinates:
Tb: 0.0704 0.1758 0.1530 [8 per cell]  5 Ho 3.31-3.53, 3 Tb 3.57-3.61
Tb: 0.0889 0.3267 0.4969 [8 per cell]  4 Ho 3.11-3.45, 1 Y 3.23
Y: 0.0000 0.0000 0.5000 [2 per cell]  4 Tb 3.23
Ho: 0.0000 0.5000 0.2500 [2 per cell]  8 Tb 3.11-3.31
Ho: 0.1104 0.2912 0.8241 [8 per cell]  8 Tb 3.34-3.54, 2 Ho 3.52

## Properties
- V: 920.3 Å³/cell
- Magnetization: 0.000 μB/atom
- D(E_F): 42.50 states/eV/cell
- Calculated formation energy: 253 meV per atom


No. 3
Compound: K2HoSnSe5
Source: the Alexandria database
Functional: GGA-PBE
Structure: optimized geometry

Lattice parameters (Å, degrees): 3.9792 20.1852 14.6750 90.00 90.00 90.00
With the nearest neighbours (Å) after each atom.
Space group Cmc2_1 (No. 36)
Inequivalent atoms, fractional coordinates:
K: 0.0000 0.1310 0.0000 [4 per cell]  7 Se 3.36-3.69
K: 0.0000 0.1349 0.6330 [4 per cell]  6 Se 3.33-3.44
Ho: 0.0000 0.2079 0.3444 [4 per cell]  5 Se 2.75-2.96
Sn: 0.0000 0.4386 0.7333 [4 per cell]  4 Se 2.49-2.62
Se: 0.0000 0.0497 0.3486 [4 per cell]  2 Sn 2.62
Se: 0.0000 0.3014 0.9732 [4 per cell]  2 Ho 2.75
Se: 0.0000 0.3138 0.6978 [4 per cell]  1 Sn 2.57
Se: 0.0000 0.3432 0.3186 [4 per cell]  1 Ho 2.76
Se: 0.0000 0.4999 0.0862 [4 per cell]  1 Sn 2.49

## Properties
- V: 1178.7 Å³/cell
- Magnetization: 0.015 μB/atom
- D(E_F): 25.26 states/eV/cell
- Formation energy from raw total energies: -1.01 eV per atom


Q: Look up the V of the first one.
A: 475.6 Å³/cell


Q: Number 3 is which compound?
A: K2HoSnSe5


Repeat the third record exactly.
Compound: K2HoSnSe5
Source: the Alexandria database
Functional: GGA-PBE
Structure: optimized geometry

Lattice parameters (Å, degrees): 3.9792 20.1852 14.6750 90.00 90.00 90.00
With the nearest neighbours (Å) after each atom.
Space group Cmc2_1 (No. 36)
Inequivalent atoms, fractional coordinates:
K: 0.0000 0.1310 0.0000 [4 per cell]  7 Se 3.36-3.69
K: 0.0000 0.1349 0.6330 [4 per cell]  6 Se 3.33-3.44
Ho: 0.0000 0.2079 0.3444 [4 per cell]  5 Se 2.75-2.96
Sn: 0.0000 0.4386 0.7333 [4 per cell]  4 Se 2.49-2.62
Se: 0.0000 0.0497 0.3486 [4 per cell]  2 Sn 2.62
Se: 0.0000 0.3014 0.9732 [4 per cell]  2 Ho 2.75
Se: 0.0000 0.3138 0.6978 [4 per cell]  1 Sn 2.57
Se: 0.0000 0.3432 0.3186 [4 per cell]  1 Ho 2.76
Se: 0.0000 0.4999 0.0862 [4 per cell]  1 Sn 2.49

## Properties
- V: 1178.7 Å³/cell
- Magnetization: 0.015 μB/atom
- D(E_F): 25.26 states/eV/cell
- Formation energy from raw total energies: -1.01 eV per atom